Material: Tb2RuC
Method: DFT, PBE
State: relaxed

## Properties
The value obtained for the spin magnetization is 0.000 μB/atom. The space-group type is Immm. The value obtained for the density of states at the Fermi level is 0.78 states/eV per atom. As for the energy of formation from the pure elements: -0.234 eV per atom. As for the total energy: -7.174 eV per atom.

Unit cell a=6.801 b=6.801 c=6.801 alpha=149.72 beta=146.42 gamma=45.84
Element x y z (fractional)
Tb1 0.358 0.367 0.991
Tb2 0.624 0.633 0.991
Ru1 0.991 0.000 0.991
C1 0.491 0.000 0.491


Material: Tb4Ru2C
Method: DFT, PBE
State: relaxed

## Properties
The value obtained for the spin magnetization is 0.000 μB/atom. The space-group type is C2/m. The value obtained for the density of states at the Fermi level is 0.57 states/eV per atom. As for the energy of formation from the pure elements: -0.183 eV per atom. As for the total energy: -6.797 eV per atom.

Unit cell a=4.704 b=6.272 c=6.320 alpha=117.38 beta=111.85 gamma=90.00
Element x y z (fractional)
Ru1 0.821 0.735 0.643
Ru2 0.179 0.265 0.357
Tb1 0.179 0.762 0.359
Tb2 0.821 0.238 0.641
Tb3 0.539 0.271 0.077
Tb4 0.461 0.729 0.923
C1 0.000 0.000 0.000


Material: TbRuC
Method: DFT, PBE
State: relaxed

## Properties
The value obtained for the spin magnetization is 0.000 μB/atom. The space-group type is P4_2/mmc. The value obtained for the density of states at the Fermi level is 0.50 states/eV per atom. As for the energy of formation from the pure elements: -0.226 eV per atom. As for the total energy: -7.936 eV per atom.

Unit cell a=3.866 b=3.866 c=6.711 alpha=90.00 beta=90.00 gamma=90.00
Element x y z (fractional)
Ru1 0.500 0.500 0.500
Ru2 0.500 0.500 0.000
Tb1 0.000 0.000 0.750
Tb2 0.000 0.000 0.250
C1 0.000 0.500 0.000
C2 0.500 0.000 0.500